Entry 1:
VASP calculation (GGA-PBE) on a geometry-optimized GaGe2PbS6 structure.

The structure in extended XYZ format:
```
20
Lattice="7.760 0.275 0.285 2.829 8.302 0.404 2.829 0.096 8.312" Properties=species:S:1:pos:R:3 pbc="T T T"
S 3.212 1.530 0.520
S 8.126 5.025 6.328
S 4.246 6.000 5.114
S 7.025 7.502 3.657
Ge 6.873 2.212 3.355
S 6.327 8.073 7.310
S 5.293 3.648 2.673
S 9.172 2.673 3.887
Pb 8.649 1.565 7.309
S 2.514 5.160 1.226
S 10.206 7.143 8.481
Ge 6.545 6.462 5.646
Ga 4.769 1.752 6.853
S 10.904 3.513 7.775
Pb 4.769 7.108 1.692
S 7.092 0.600 1.691
Ge 2.994 3.133 2.192
Ge 10.425 5.540 6.809
Ga 8.649 6.921 2.148
S 6.394 1.171 5.345
```

- formation energy (no corrections) (meV/atom) = -296

***

Entry 2:
VASP calculation (GGA-PBE) on a geometry-optimized Ga2GePbSe6 structure.

The structure in extended XYZ format:
```
20
Lattice="-7.137 -0.990 1.461 -0.475 -2.895 8.760 -3.175 8.127 3.035" Properties=species:S:1:pos:R:3 pbc="T T T"
Pb -8.176 5.949 4.876
Ga -6.261 1.792 4.559
Ge -6.337 -1.556 8.774
Ga -2.340 0.846 4.577
Ga -4.526 2.451 8.697
Se -8.229 4.657 10.987
Ga -8.447 3.396 8.679
Se -6.246 3.760 7.700
Se -5.954 4.086 3.697
Se -4.305 3.699 11.011
Se -4.540 0.482 5.555
Se -1.050 -0.870 5.797
Ge -4.449 5.798 4.481
Se -4.833 0.157 9.559
Se -2.202 2.313 7.978
Se -2.557 -0.415 2.268
Pb -2.611 -1.707 8.379
Se -8.584 1.929 5.277
Se -6.482 0.544 2.244
Se -9.736 5.113 7.458
```

- formation energy (no corrections) (meV/atom) = -360

***

Entry 3:
VASP calculation (GGA-PBE) on a geometry-optimized GaSnGePb structure.

The structure in extended XYZ format:
```
4
Lattice="-4.884 -0.584 -1.680 -1.388 -4.343 -2.497 -3.149 -3.432 2.308" Properties=species:S:1:pos:R:3 pbc="T T T"
Pb -7.066 -6.269 -1.402
Ga -4.711 -4.180 -0.935
Sn -2.355 -2.090 -0.467
Ge 0.000 0.000 0.000
```

- calculated formation energy (eV/atom) = 0.18